[1]
First-principles (PBEsol) data for a relaxed structure of SnP6W3O24, as listed in Alexandria.

Values from the calculation:
Its crystal system is trigonal. The uncorrected formation energy is -2.068 eV/atom. The density comes out at 4.279 g/cm3.

Unit cell a=8.9476 b=8.9476 c=8.9476 alpha=57.82 beta=57.82 gamma=57.82
Sites, in units of the cell vectors:
W 0.3577 0.3577 0.3577
O 0.2169 0.5837 0.4262
O 0.9778 0.2512 0.3560
O 0.8696 0.7089 0.5032
O 0.7652 0.6420 0.0095
O 0.0402 0.9319 0.2966
P 0.5333 0.9653 0.2507
W 0.6436 0.6436 0.6436
O 0.0095 0.7652 0.6420
P 0.7506 0.4653 0.0352
O 0.5032 0.8696 0.7089
O 0.2790 0.5034 0.1357
O 0.9505 0.0675 0.7013
P 0.0352 0.7506 0.4653
O 0.7013 0.9505 0.0675
O 0.6420 0.0095 0.7652
O 0.9319 0.2966 0.0402
O 0.2512 0.3560 0.9778
O 0.0675 0.7013 0.9505
O 0.5836 0.7842 0.4143
P 0.9653 0.2507 0.5333
P 0.4653 0.0352 0.7506
W 0.8560 0.8560 0.8560
O 0.3560 0.9778 0.2512
O 0.5034 0.1357 0.2790
O 0.7089 0.5032 0.8696
O 0.7842 0.4143 0.5836
Sn 0.1440 0.1440 0.1440
O 0.2966 0.0402 0.9319
O 0.5837 0.4262 0.2169
O 0.4262 0.2169 0.5837
P 0.2507 0.5333 0.9653
O 0.4143 0.5836 0.7842
O 0.1357 0.2790 0.5034

***

[2]
First-principles (PBEsol) data for a relaxed structure of TlNiAg, as listed in Alexandria.

Values from the calculation:
The value obtained for the offset from the most stable computed form is 0 meV per atom. Its crystal system is trigonal. The formation energy is 0.375 eV/atom. The density comes out at 11.888 g/cm3.

Unit cell a=3.0586 b=3.0586 c=6.3954 alpha=90.00 beta=90.00 gamma=120.00
Sites, in units of the cell vectors:
Ag 0.0000 0.0000 0.9727
Ni 0.6667 0.3333 0.6695
Tl 0.3333 0.6667 0.3577

***

[3]
First-principles (PBEsol) data for a relaxed structure of Ba3P, as listed in Alexandria.

Values from the calculation:
The value obtained for the offset from the most stable computed form is 0 meV per atom. Its crystal system is trigonal. The formation energy is -0.550 eV/atom. The density comes out at 3.560 g/cm3.

Unit cell a=4.5428 b=4.5428 c=11.8546 alpha=78.95 beta=78.95 gamma=60.00
Sites, in units of the cell vectors:
Ba 0.5000 0.5000 0.5000
P 0.0000 0.0000 0.0000
Ba 0.7163 0.7163 0.8510
Ba 0.2837 0.2837 0.1490

***

| no. | N(E_F) (states/eV/atom) | total magnetic moment (μB per atom) |
| --- | --- | --- |
| 1 | 0.30 | 0.118 |
| 2 | 0.57 | 0.000 |
| 3 | 0.57 | 0.238 |